Entry 1:
Entry from Alexandria via LeMat-Bulk: a geometry-optimized LiZn6Ga6 structure (GGA-PBE).

Properties
E_tot in Ry/atom: -0.1572
ΔE to the lowest computed polymorph in eV per formula unit: 0.153
E_form in meV/atom: -6.5
Symmetry: Immm (71)

Cell and atoms, written as CIF:
```
data_LiZn6Ga6
_symmetry_space_group_name_H-M 'P 1'
_symmetry_Int_Tables_number 1
_cell_length_a 7.110
_cell_length_b 7.110
_cell_length_c 7.110
_cell_angle_alpha 137.76
_cell_angle_beta 101.30
_cell_angle_gamma 93.66
loop_
_symmetry_equiv_pos_as_xyz
'x,y,z'
loop_
_atom_site_label
_atom_site_type_symbol
_atom_site_fract_x
_atom_site_fract_y
_atom_site_fract_z
_atom_site_occupancy
Li1 Li 0.000 0.000 0.000 1
Zn1 Zn 0.000 0.000 0.500 1
Zn2 Zn 0.000 0.500 0.000 1
Zn3 Zn 0.229 0.729 0.500 1
Zn4 Zn 0.500 0.000 0.000 1
Zn5 Zn 0.500 0.500 0.500 1
Zn6 Zn 0.771 0.271 0.500 1
Ga1 Ga 0.177 0.500 0.677 1
Ga2 Ga 0.341 0.000 0.341 1
Ga3 Ga 0.358 0.358 0.000 1
Ga4 Ga 0.642 0.642 0.000 1
Ga5 Ga 0.659 0.000 0.659 1
Ga6 Ga 0.823 0.500 0.323 1
```

=====

Entry 2:
Entry from Alexandria via LeMat-Bulk: a geometry-optimized PdC structure (GGA-PBE).

Properties
E_tot in Ry/atom: -0.4344
ΔE to the lowest computed polymorph in eV per formula unit: 0.955
E_form in meV/atom: 1298.4
Symmetry: P6_3/m (176)

Cell and atoms, written as CIF:
```
data_PdC
_symmetry_space_group_name_H-M 'P 1'
_symmetry_Int_Tables_number 1
_cell_length_a 7.970
_cell_length_b 7.970
_cell_length_c 3.303
_cell_angle_alpha 90.00
_cell_angle_beta 90.00
_cell_angle_gamma 120.00
loop_
_symmetry_equiv_pos_as_xyz
'x,y,z'
loop_
_atom_site_label
_atom_site_type_symbol
_atom_site_fract_x
_atom_site_fract_y
_atom_site_fract_z
_atom_site_occupancy
Pd1 Pd 0.101 0.661 0.250 1
Pd2 Pd 0.339 0.440 0.250 1
Pd3 Pd 0.440 0.101 0.750 1
Pd4 Pd 0.560 0.899 0.250 1
Pd5 Pd 0.661 0.560 0.750 1
Pd6 Pd 0.899 0.339 0.750 1
C1 C 0.065 0.372 0.250 1
C2 C 0.307 0.935 0.250 1
C3 C 0.372 0.307 0.750 1
C4 C 0.628 0.693 0.250 1
C5 C 0.693 0.065 0.750 1
C6 C 0.935 0.628 0.750 1
```

=====

Entry 3:
Entry from Alexandria via LeMat-Bulk: a geometry-optimized Co6NiIr2 structure (GGA-PBE).

Properties
E_tot in Ry/atom: -0.5205
ΔE to the lowest computed polymorph in eV per formula unit: 0.000
E_form in meV/atom: 267.0
Symmetry: C2/m (12)

Cell and atoms, written as CIF:
```
data_Co6NiIr2
_symmetry_space_group_name_H-M 'P 1'
_symmetry_Int_Tables_number 1
_cell_length_a 4.714
_cell_length_b 4.714
_cell_length_c 5.756
_cell_angle_alpha 90.08
_cell_angle_beta 90.08
_cell_angle_gamma 60.02
loop_
_symmetry_equiv_pos_as_xyz
'x,y,z'
loop_
_atom_site_label
_atom_site_type_symbol
_atom_site_fract_x
_atom_site_fract_y
_atom_site_fract_z
_atom_site_occupancy
Co1 Co 0.158 0.671 0.829 1
Co2 Co 0.329 0.329 0.170 1
Co3 Co 0.329 0.842 0.171 1
Co4 Co 0.671 0.158 0.829 1
Co5 Co 0.671 0.671 0.830 1
Co6 Co 0.842 0.329 0.171 1
Ni1 Ni 0.500 0.500 0.500 1
Ir1 Ir 0.166 0.166 0.591 1
Ir2 Ir 0.834 0.834 0.409 1
```

=====

Entry 4:
Entry from Alexandria via LeMat-Bulk: a geometry-optimized Y3In structure (GGA-PBE).

Properties
E_tot in Ry/atom: -0.4165
E_form in meV/atom: -134.0
Symmetry: Fm-3m (225)

Cell and atoms, written as CIF:
```
data_Y3In
_symmetry_space_group_name_H-M 'P 1'
_symmetry_Int_Tables_number 1
_cell_length_a 5.471
_cell_length_b 5.471
_cell_length_c 5.471
_cell_angle_alpha 60.00
_cell_angle_beta 60.00
_cell_angle_gamma 60.00
loop_
_symmetry_equiv_pos_as_xyz
'x,y,z'
loop_
_atom_site_label
_atom_site_type_symbol
_atom_site_fract_x
_atom_site_fract_y
_atom_site_fract_z
_atom_site_occupancy
Y1 Y 0.000 0.000 0.000 1
Y2 Y 0.250 0.250 0.250 1
Y3 Y 0.750 0.750 0.750 1
In1 In 0.500 0.500 0.500 1
```

=====

Entry 5:
Entry from Alexandria via LeMat-Bulk: a geometry-optimized ZnTc2Mo structure (GGA-PBE).

Properties
E_tot in Ry/atom: -0.5945
E_form in meV/atom: 121.2
Symmetry: Immm (71)

Cell and atoms, written as CIF:
```
data_ZnTc2Mo
_symmetry_space_group_name_H-M 'P 1'
_symmetry_Int_Tables_number 1
_cell_length_a 5.085
_cell_length_b 5.085
_cell_length_c 5.085
_cell_angle_alpha 144.08
_cell_angle_beta 128.67
_cell_angle_gamma 64.23
loop_
_symmetry_equiv_pos_as_xyz
'x,y,z'
loop_
_atom_site_label
_atom_site_type_symbol
_atom_site_fract_x
_atom_site_fract_y
_atom_site_fract_z
_atom_site_occupancy
Zn1 Zn 0.000 0.000 0.000 1
Tc1 Tc 0.261 0.761 0.500 1
Tc2 Tc 0.739 0.239 0.500 1
Mo1 Mo 0.500 0.500 0.000 1
```

=====

Entry 6:
Entry from Alexandria via LeMat-Bulk: a geometry-optimized Tb2GdPu structure (GGA-PBE).

Properties
E_tot in Ry/atom: -0.6843
ΔE to the lowest computed polymorph in eV per formula unit: 0.000
E_form in meV/atom: 108.1
Symmetry: P4/mmm (123)

Cell and atoms, written as CIF:
```
data_Tb2GdPu
_symmetry_space_group_name_H-M 'P 1'
_symmetry_Int_Tables_number 1
_cell_length_a 3.496
_cell_length_b 3.496
_cell_length_c 10.068
_cell_angle_alpha 90.00
_cell_angle_beta 90.00
_cell_angle_gamma 90.00
loop_
_symmetry_equiv_pos_as_xyz
'x,y,z'
loop_
_atom_site_label
_atom_site_type_symbol
_atom_site_fract_x
_atom_site_fract_y
_atom_site_fract_z
_atom_site_occupancy
Tb1 Tb 0.000 0.000 0.242 1
Tb2 Tb 0.000 0.000 0.758 1
Gd1 Gd 0.500 0.500 0.500 1
Pu1 Pu 0.500 0.500 0.000 1
```

=====

Entry 7:
Entry from Alexandria via LeMat-Bulk: a geometry-optimized Ce3AlH3 structure (GGA-PBE).

Properties
E_tot in Ry/atom: -0.3481
Symmetry: R-3 (148)

Cell and atoms, written as CIF:
```
data_Ce3AlH3
_symmetry_space_group_name_H-M 'P 1'
_symmetry_Int_Tables_number 1
_cell_length_a 8.271
_cell_length_b 8.271
_cell_length_c 8.271
_cell_angle_alpha 46.14
_cell_angle_beta 46.14
_cell_angle_gamma 46.14
loop_
_symmetry_equiv_pos_as_xyz
'x,y,z'
loop_
_atom_site_label
_atom_site_type_symbol
_atom_site_fract_x
_atom_site_fract_y
_atom_site_fract_z
_atom_site_occupancy
Ce1 Ce 0.098 0.781 0.408 1
Ce2 Ce 0.219 0.592 0.902 1
Ce3 Ce 0.408 0.098 0.781 1
Ce4 Ce 0.592 0.902 0.219 1
Ce5 Ce 0.781 0.408 0.098 1
Ce6 Ce 0.902 0.219 0.592 1
Al1 Al 0.333 0.333 0.333 1
Al2 Al 0.667 0.667 0.667 1
H1 H 0.130 0.488 0.780 1
H2 H 0.220 0.870 0.512 1
H3 H 0.488 0.780 0.130 1
H4 H 0.512 0.220 0.870 1
H5 H 0.780 0.130 0.488 1
H6 H 0.870 0.512 0.220 1
```

=====

Entry 8:
Entry from Alexandria via LeMat-Bulk: a geometry-optimized TmCdCu structure (GGA-PBE).

Properties
E_tot in Ry/atom: -0.2471
E_form in meV/atom: -200.8
Symmetry: P-6m2 (187)

Cell and atoms, written as CIF:
```
data_TmCdCu
_symmetry_space_group_name_H-M 'P 1'
_symmetry_Int_Tables_number 1
_cell_length_a 4.640
_cell_length_b 4.640
_cell_length_c 3.331
_cell_angle_alpha 90.00
_cell_angle_beta 90.00
_cell_angle_gamma 120.00
loop_
_symmetry_equiv_pos_as_xyz
'x,y,z'
loop_
_atom_site_label
_atom_site_type_symbol
_atom_site_fract_x
_atom_site_fract_y
_atom_site_fract_z
_atom_site_occupancy
Tm1 Tm 0.000 0.000 0.000 1
Cd1 Cd 0.333 0.667 0.500 1
Cu1 Cu 0.667 0.333 0.500 1
```

=====

Entry 9:
Entry from Alexandria via LeMat-Bulk: a geometry-optimized Th4Co2CSe structure (GGA-PBE).

Properties
E_tot in Ry/atom: -0.5504
Energy relative to the elements, uncorrected in eV per atom: -0.41
Symmetry: I222 (23)

Cell and atoms, written as CIF:
```
data_Th4Co2CSe
_symmetry_space_group_name_H-M 'P 1'
_symmetry_Int_Tables_number 1
_cell_length_a 6.225
_cell_length_b 6.225
_cell_length_c 6.225
_cell_angle_alpha 110.88
_cell_angle_beta 109.86
_cell_angle_gamma 107.69
loop_
_symmetry_equiv_pos_as_xyz
'x,y,z'
loop_
_atom_site_label
_atom_site_type_symbol
_atom_site_fract_x
_atom_site_fract_y
_atom_site_fract_z
_atom_site_occupancy
Th1 Th 0.076 0.642 0.991 1
Th2 Th 0.348 0.358 0.433 1
Th3 Th 0.652 0.085 0.009 1
Th4 Th 0.924 0.915 0.567 1
Co1 Co 0.336 0.836 0.500 1
Co2 Co 0.664 0.164 0.500 1
C1 C 0.000 0.000 0.000 1
Se1 Se 0.500 0.500 0.000 1
```

=====

Entry 10:
Entry from Alexandria via LeMat-Bulk: a geometry-optimized YZr2Co structure (GGA-PBE).

Properties
E_tot in Ry/atom: -0.5558
ΔE to the lowest computed polymorph in eV per formula unit: 1.015
E_form in meV/atom: 104.1
Symmetry: P2/m (10)

Cell and atoms, written as CIF:
```
data_YZr2Co
_symmetry_space_group_name_H-M 'P 1'
_symmetry_Int_Tables_number 1
_cell_length_a 3.540
_cell_length_b 4.226
_cell_length_c 6.027
_cell_angle_alpha 90.00
_cell_angle_beta 106.61
_cell_angle_gamma 90.00
loop_
_symmetry_equiv_pos_as_xyz
'x,y,z'
loop_
_atom_site_label
_atom_site_type_symbol
_atom_site_fract_x
_atom_site_fract_y
_atom_site_fract_z
_atom_site_occupancy
Y1 Y 0.000 0.000 0.000 1
Zr1 Zr 0.387 0.500 0.706 1
Zr2 Zr 0.613 0.500 0.294 1
Co1 Co 0.000 0.000 0.500 1
```

=====

Which formula does entry 9 have?
Th4Co2CSe

=====

Copy entry 7 word for word.
Entry from Alexandria via LeMat-Bulk: a geometry-optimized Ce3AlH3 structure (GGA-PBE).

Properties
E_tot in Ry/atom: -0.3481
Symmetry: R-3 (148)

Cell and atoms, written as CIF:
```
data_Ce3AlH3
_symmetry_space_group_name_H-M 'P 1'
_symmetry_Int_Tables_number 1
_cell_length_a 8.271
_cell_length_b 8.271
_cell_length_c 8.271
_cell_angle_alpha 46.14
_cell_angle_beta 46.14
_cell_angle_gamma 46.14
loop_
_symmetry_equiv_pos_as_xyz
'x,y,z'
loop_
_atom_site_label
_atom_site_type_symbol
_atom_site_fract_x
_atom_site_fract_y
_atom_site_fract_z
_atom_site_occupancy
Ce1 Ce 0.098 0.781 0.408 1
Ce2 Ce 0.219 0.592 0.902 1
Ce3 Ce 0.408 0.098 0.781 1
Ce4 Ce 0.592 0.902 0.219 1
Ce5 Ce 0.781 0.408 0.098 1
Ce6 Ce 0.902 0.219 0.592 1
Al1 Al 0.333 0.333 0.333 1
Al2 Al 0.667 0.667 0.667 1
H1 H 0.130 0.488 0.780 1
H2 H 0.220 0.870 0.512 1
H3 H 0.488 0.780 0.130 1
H4 H 0.512 0.220 0.870 1
H5 H 0.780 0.130 0.488 1
H6 H 0.870 0.512 0.220 1
```

=====

Which of these has the lowest E_tot?
Tb2GdPu